[1]
Density functional theory data (PBE) for ZnIn12Hg7 after structural relaxation.

Output
**ΔE_f**: 0.0416 eV per atom
**Space-group type**: No. 166

Lattice parameters (Å, degrees): 8.1754 8.1754 8.1754 97.30 97.30 97.30
Last column: nearest neighbours and their distance in Å.
Fractional coordinates of all 20 atoms:
Zn 0.0000 0.0000 0.0000  6 In 3.18, 6 Hg 3.34
In 0.0000 0.2594 0.7406  6 In 3.18-3.34, 1 Zn 3.18, 4 Hg 3.24-3.36
In 0.0000 0.7406 0.2594  6 In 3.18-3.34, 1 Zn 3.18, 4 Hg 3.24-3.36
In 0.1632 0.6038 0.6038  7 In 3.14-3.34, 3 Hg 3.17-3.45
In 0.2594 0.0000 0.7406  6 In 3.18-3.34, 1 Zn 3.18, 4 Hg 3.24-3.36
In 0.2594 0.7406 0.0000  6 In 3.18-3.34, 1 Zn 3.18, 4 Hg 3.24-3.36
In 0.3962 0.3962 0.8368  7 In 3.14-3.34, 3 Hg 3.17-3.45
In 0.3962 0.8368 0.3962  7 In 3.14-3.34, 3 Hg 3.17-3.45
In 0.6038 0.1632 0.6038  7 In 3.14-3.34, 3 Hg 3.17-3.45
In 0.6038 0.6038 0.1632  7 In 3.14-3.34, 3 Hg 3.17-3.45
In 0.7406 0.0000 0.2594  6 In 3.18-3.34, 1 Zn 3.18, 4 Hg 3.24-3.36
In 0.7406 0.2594 0.0000  6 In 3.18-3.34, 1 Zn 3.18, 4 Hg 3.24-3.36
In 0.8368 0.3962 0.3962  7 In 3.14-3.34, 3 Hg 3.17-3.45
Hg 0.1436 0.1436 0.3997  2 Hg 3.14, 6 In 3.24-3.45, 1 Zn 3.34
Hg 0.1436 0.3997 0.1436  2 Hg 3.14, 6 In 3.24-3.45, 1 Zn 3.34
Hg 0.3997 0.1436 0.1436  2 Hg 3.14, 6 In 3.24-3.45, 1 Zn 3.34
Hg 0.5000 0.5000 0.5000  6 In 3.17
Hg 0.6003 0.8564 0.8564  2 Hg 3.14, 6 In 3.24-3.45, 1 Zn 3.34
Hg 0.8564 0.6003 0.8564  2 Hg 3.14, 6 In 3.24-3.45, 1 Zn 3.34
Hg 0.8564 0.8564 0.6003  2 Hg 3.14, 6 In 3.24-3.45, 1 Zn 3.34

[2]
Density functional theory data (PBE) for Zn5In3Hg12 after structural relaxation.

Output
**ΔE_f**: 0.1384 eV per atom
**Space-group type**: No. 230

Lattice parameters (Å, degrees): 14.3619 14.3619 14.3619 109.47 109.47 109.47
Last column: nearest neighbours and their distance in Å.
Fractional coordinates of all 80 atoms:
Zn 0.0000 0.0000 0.0000  6 Hg 2.75
Zn 0.0000 0.0000 0.5000  6 Hg 2.75
Zn 0.0000 0.5000 0.0000  6 Hg 2.75
Zn 0.0000 0.5000 0.5000  6 Hg 2.75
Zn 0.1250 0.7500 0.8750  4 Hg 2.65
Zn 0.1250 0.8750 0.2500  4 Hg 2.65
Zn 0.2500 0.1250 0.8750  4 Hg 2.65
Zn 0.2500 0.6250 0.3750  4 Hg 2.65
Zn 0.3750 0.2500 0.6250  4 Hg 2.65
Zn 0.3750 0.6250 0.7500  4 Hg 2.65
Zn 0.5000 0.0000 0.0000  6 Hg 2.75
Zn 0.5000 0.0000 0.5000  6 Hg 2.75
Zn 0.5000 0.5000 0.0000  6 Hg 2.75
Zn 0.5000 0.5000 0.5000  6 Hg 2.75
Zn 0.6250 0.3750 0.2500  4 Hg 2.65
Zn 0.6250 0.7500 0.3750  4 Hg 2.65
Zn 0.7500 0.3750 0.6250  4 Hg 2.65
Zn 0.7500 0.8750 0.1250  4 Hg 2.65
Zn 0.8750 0.1250 0.7500  4 Hg 2.65
Zn 0.8750 0.2500 0.1250  4 Hg 2.65
In 0.1250 0.2500 0.3750  4 Hg 2.97
In 0.1250 0.3750 0.7500  4 Hg 2.97
In 0.2500 0.3750 0.1250  4 Hg 2.97
In 0.2500 0.8750 0.6250  4 Hg 2.97
In 0.3750 0.1250 0.2500  4 Hg 2.97
In 0.3750 0.7500 0.1250  4 Hg 2.97
In 0.6250 0.2500 0.8750  4 Hg 2.97
In 0.6250 0.8750 0.7500  4 Hg 2.97
In 0.7500 0.1250 0.3750  4 Hg 2.97
In 0.7500 0.6250 0.8750  4 Hg 2.97
In 0.8750 0.6250 0.2500  4 Hg 2.97
In 0.8750 0.7500 0.6250  4 Hg 2.97
Hg 0.0438 0.2196 0.1140  2 Zn 2.65-2.75
Hg 0.0438 0.3242 0.9298  2 Zn 2.65-2.75
Hg 0.0702 0.6140 0.3944  2 Zn 2.65-2.75
Hg 0.0702 0.9562 0.6758  2 Zn 2.65-2.75
Hg 0.1056 0.7196 0.6758  2 Zn 2.65-2.75
Hg 0.1056 0.8860 0.4298  2 Zn 2.65-2.75
Hg 0.1140 0.0438 0.2196  2 Zn 2.65-2.75
Hg 0.1140 0.5702 0.8944  2 Zn 2.65-2.75
Hg 0.1758 0.2196 0.6056  2 Zn 2.65-2.75
Hg 0.1758 0.4562 0.5702  2 Zn 2.65-2.75
Hg 0.2196 0.1140 0.0438  2 Zn 2.65-2.75
Hg 0.2196 0.6056 0.1758  2 Zn 2.65-2.75
Hg 0.2804 0.3242 0.8944  2 Zn 2.65-2.75
Hg 0.2804 0.4562 0.3860  2 Zn 2.65-2.75
Hg 0.3242 0.8944 0.2804  2 Zn 2.65-2.75
Hg 0.3242 0.9298 0.0438  2 Zn 2.65-2.75
Hg 0.3860 0.2804 0.4562  2 Zn 2.65-2.75
Hg 0.3860 0.6056 0.9298  2 Zn 2.65-2.75
Hg 0.3944 0.0702 0.6140  2 Zn 2.65-2.75
Hg 0.3944 0.8242 0.7804  2 Zn 2.65-2.75
Hg 0.4298 0.1056 0.8860  2 Zn 2.65-2.75
Hg 0.4298 0.8242 0.5438  2 Zn 2.65-2.75
Hg 0.4562 0.3860 0.2804  2 Zn 2.65-2.75
Hg 0.4562 0.5702 0.1758  2 Zn 2.65-2.75
Hg 0.5438 0.4298 0.8242  2 Zn 2.65-2.75
Hg 0.5438 0.6140 0.7196  2 Zn 2.65-2.75
Hg 0.5702 0.1758 0.4562  2 Zn 2.65-2.75
Hg 0.5702 0.8944 0.1140  2 Zn 2.65-2.75
Hg 0.6056 0.1758 0.2196  2 Zn 2.65-2.75
Hg 0.6056 0.9298 0.3860  2 Zn 2.65-2.75
Hg 0.6140 0.3944 0.0702  2 Zn 2.65-2.75
Hg 0.6140 0.7196 0.5438  2 Zn 2.65-2.75
Hg 0.6758 0.0702 0.9562  2 Zn 2.65-2.75
Hg 0.6758 0.1056 0.7196  2 Zn 2.65-2.75
Hg 0.7196 0.5438 0.6140  2 Zn 2.65-2.75
Hg 0.7196 0.6758 0.1056  2 Zn 2.65-2.75
Hg 0.7804 0.3944 0.8242  2 Zn 2.65-2.75
Hg 0.7804 0.8860 0.9562  2 Zn 2.65-2.75
Hg 0.8242 0.5438 0.4298  2 Zn 2.65-2.75
Hg 0.8242 0.7804 0.3944  2 Zn 2.65-2.75
Hg 0.8860 0.4298 0.1056  2 Zn 2.65-2.75
Hg 0.8860 0.9562 0.7804  2 Zn 2.65-2.75
Hg 0.8944 0.1140 0.5702  2 Zn 2.65-2.75
Hg 0.8944 0.2804 0.3242  2 Zn 2.65-2.75
Hg 0.9298 0.0438 0.3242  2 Zn 2.65-2.75
Hg 0.9298 0.3860 0.6056  2 Zn 2.65-2.75
Hg 0.9562 0.6758 0.0702  2 Zn 2.65-2.75
Hg 0.9562 0.7804 0.8860  2 Zn 2.65-2.75

[3]
Density functional theory data (PBE) for ZnInHg14 after structural relaxation.

Output
**ΔE_f**: 0.0314 eV per atom
**Space-group type**: No. 38

Lattice parameters (Å, degrees): 10.8941 6.8200 6.8200 59.61 90.00 90.00
Last column: nearest neighbours and their distance in Å.
Fractional coordinates of all 16 atoms:
Zn 0.0000 0.0000 0.0000  10 Hg 3.24-3.58, 2 In 3.39
In 0.0000 0.4906 0.4906  10 Hg 3.29-3.49, 2 Zn 3.39
Hg 0.0000 0.4834 0.9830  2 Zn 3.24-3.58, 8 Hg 3.31-3.41, 2 In 3.33-3.49
Hg 0.0000 0.9830 0.4834  2 Zn 3.24-3.58, 8 Hg 3.31-3.41, 2 In 3.33-3.49
Hg 0.2393 0.1484 0.6612  1 Zn 3.29, 1 In 3.29, 10 Hg 3.30-3.48
Hg 0.2393 0.6612 0.1484  1 Zn 3.29, 1 In 3.29, 10 Hg 3.30-3.48
Hg 0.2483 0.1518 0.1518  1 Zn 3.25, 11 Hg 3.33-3.46
Hg 0.2581 0.6541 0.6541  11 Hg 3.30-3.43, 1 In 3.41
Hg 0.5000 0.4860 0.4860  12 Hg 3.30-3.50
Hg 0.5000 0.4899 0.9970  12 Hg 3.32-3.50
Hg 0.5000 0.9888 0.9888  12 Hg 3.35-3.45
Hg 0.5000 0.9970 0.4899  12 Hg 3.32-3.50
Hg 0.7419 0.6541 0.6541  11 Hg 3.30-3.43, 1 In 3.41
Hg 0.7517 0.1518 0.1518  1 Zn 3.25, 11 Hg 3.33-3.46
Hg 0.7607 0.1484 0.6612  1 Zn 3.29, 1 In 3.29, 10 Hg 3.30-3.48
Hg 0.7607 0.6612 0.1484  1 Zn 3.29, 1 In 3.29, 10 Hg 3.30-3.48

[4]
Density functional theory data (PBE) for Zn2InHg2 after structural relaxation.

Output
**ΔE_f**: 0.0953 eV per atom
**Space-group type**: No. 127

Lattice parameters (Å, degrees): 7.5862 7.5862 3.8507 90.00 90.00 90.00
Last column: nearest neighbours and their distance in Å.
Fractional coordinates of all 10 atoms:
Zn 0.1218 0.3782 0.0000  1 Zn 2.61, 2 Hg 2.88
Zn 0.3782 0.8782 0.0000  1 Zn 2.61, 2 Hg 2.88
Zn 0.6218 0.1218 0.0000  1 Zn 2.61, 2 Hg 2.88
Zn 0.8782 0.6218 0.0000  1 Zn 2.61, 2 Hg 2.88
In 0.0000 0.0000 0.0000  4 Zn 3.01
In 0.5000 0.5000 0.0000  4 Zn 3.01
Hg 0.1787 0.6787 0.5000  6 Zn 2.88-3.02
Hg 0.3213 0.1787 0.5000  6 Zn 2.88-3.02
Hg 0.6787 0.8213 0.5000  6 Zn 2.88-3.02
Hg 0.8213 0.3213 0.5000  6 Zn 2.88-3.02